# PBE CaLaTi2, optimized geometry
# formation enthalpy at 0 K: 0.81 eV/atom
# magnetization: 11.65 μB per cell
# electronic total energy: -4.87 eV per atom
# mass density: 4.30 g/cm³
data_CaLaTi2
_cell_length_a 4.406
_cell_length_b 4.406
_cell_length_c 21.849
_cell_angle_alpha 90.00
_cell_angle_beta 90.00
_cell_angle_gamma 90.00
_space_group_name_H-M_alt 'I -4 2 d'
_space_group_IT_number 122
_space_group_name_Hall 'I -4 2bw'
loop_
_atom_site_label
_atom_site_fract_x
_atom_site_fract_y
_atom_site_fract_z
Ca1 0.000 0.000 0.000
La1 0.000 0.000 0.500
Ti1 0.237 0.250 0.625